VASP calculation (PBE) on an optimized crystal structure of SrCoTe.

a b c (Å): 6.134 6.136 3.668
angles (deg): 72.59 72.62 34.79
Atoms (fractional coordinates):
Sr: 0.333 0.333 0.667
Te: 0.621 0.621 0.379
Co: 0.047 0.047 0.953

Summary:
Its theoretical density is 6.09 g/cm³. The calculation puts the density of states at the Fermi level at 4.284 states/eV/f.u. The distance to the lowest polymorph of the same formula is 483 meV per atom. As for the crystal system: tetragonal. As for the space group: I4mm (107). The calculation puts the magnetic moment at 0.4452 μB per atom. The formation energy from raw total energies is -0.092 eV/atom.